(1)
## Pr7Y3Mg (PBE)

Data for Pr7Y3Mg after structural relaxation.

Results
Calculated volume: 397.77 Å³/cell
Energy of formation: 0.219 eV/atom
DOS(E_F): 15.69 states/eV/cell

```
Pr7Y3Mg
1.0
-4.971 -4.025 1.285
3.293 -1.360 6.981
-3.451 5.943 3.769
Pr Y Mg
7 3 1
direct
0.214 0.242 0.242 Pr
0.263 0.904 0.566 Pr
0.737 0.434 0.096 Pr
0.263 0.566 0.904 Pr
0.000 0.500 0.500 Pr
0.737 0.096 0.434 Pr
0.786 0.758 0.758 Pr
0.000 0.836 0.164 Y
0.500 0.000 0.000 Y
0.000 0.164 0.836 Y
0.500 0.500 0.500 Mg
```

(2)
## Zr3TiSe (PBE)

Data for Zr3TiSe after structural relaxation.

Results
Calculated volume: 122.69 Å³/cell
ΔE_f (raw): 65 kJ/mol of atoms
DOS(E_F): 8.77 states/eV/cell

```
Zr3TiSe
1.0
4.969 0.000 0.000
0.000 4.969 0.000
0.000 0.000 4.969
Se Zr Ti
1 3 1
direct
0.500 0.500 0.500 Se
0.000 0.500 0.000 Zr
0.000 0.000 0.500 Zr
0.500 0.000 0.000 Zr
0.000 0.000 0.000 Ti
```

(3)
## ScTlPt (PBE)

Data for ScTlPt after structural relaxation.

Results
Calculated volume: 60.51 Å³/cell
Energy of formation: -0.602 eV/atom
DOS(E_F): 0.86 states/eV/cell

```
ScTlPt
1.0
-2.403 -1.400 4.497
-4.348 -3.008 0.049
4.828 0.104 -2.152
Pt Sc Tl
1 1 1
direct
0.987 0.987 0.000 Pt
0.350 0.350 0.000 Sc
0.663 0.663 0.000 Tl
```

(4)
## PaZn12 (PBE)

Data for PaZn12 after structural relaxation.

Results
Calculated volume: 205.94 Å³/cell
Energy of formation: -0.081 eV/atom
DOS(E_F): 7.46 states/eV/cell

```
PaZn12
1.0
-4.310 2.105 1.985
-4.764 1.116 -4.740
-4.504 -4.704 1.998
Pa Zn
1 12
direct
0.000 0.000 0.000 Pa
0.500 0.000 0.500 Zn
0.000 0.000 0.500 Zn
0.500 0.500 0.000 Zn
0.000 0.500 0.000 Zn
0.000 0.646 0.354 Zn
0.000 0.354 0.646 Zn
0.646 0.354 0.354 Zn
0.354 0.646 0.646 Zn
0.500 0.216 0.784 Zn
0.500 0.784 0.216 Zn
0.716 0.784 0.784 Zn
0.284 0.216 0.216 Zn
```

(5)
## SbTePtN2 (PBE)

Data for SbTePtN2 after structural relaxation.

Results
Calculated volume: 97.83 Å³/cell
ΔE_f (raw): 127 kJ/mol of atoms
DOS(E_F): 2.89 states/eV/cell

```
SbTePtN2
1.0
4.129 0.000 0.000
0.000 4.129 0.000
0.000 0.000 5.738
Sb Te Pt N
1 1 1 2
direct
0.500 0.500 0.500 Sb
0.000 0.000 0.500 Te
0.000 0.000 0.000 Pt
0.000 0.500 0.000 N
0.500 0.000 0.000 N
```

(6)
## Hf2Ta2Rh (PBE)

Data for Hf2Ta2Rh after structural relaxation.

Results
Calculated volume: 92.71 Å³/cell
Energy of formation: -0.372 eV/atom
DOS(E_F): 5.19 states/eV/cell

```
Hf2Ta2Rh
1.0
-2.995 0.427 -1.387
0.925 -1.888 -2.580
-1.776 -6.077 5.958
Hf Ta Rh
2 2 1
direct
0.597 0.597 0.193 Hf
0.403 0.403 0.807 Hf
0.796 0.796 0.592 Ta
0.204 0.204 0.408 Ta
0.000 0.000 0.000 Rh
```

(7)
## PrTmMgGa (PBE)

Data for PrTmMgGa after structural relaxation.

Results
Calculated volume: 101.62 Å³/cell
Energy of formation: -0.320 eV/atom
DOS(E_F): 2.43 states/eV/cell

```
PrTmMgGa
1.0
-3.667 0.424 3.717
-2.822 -4.190 1.385
0.746 -2.229 4.681
Pr Mg Tm Ga
1 1 1 1
direct
0.500 0.500 0.500 Pr
0.750 0.750 0.750 Mg
0.000 0.000 0.000 Tm
0.250 0.250 0.250 Ga
```

(8)
## Pr11Hg9Pd4 (PBE)

Data for Pr11Hg9Pd4 after structural relaxation.

Results
Calculated volume: 643.65 Å³/cell
Energy of formation: -0.592 eV/atom
DOS(E_F): 19.09 states/eV/cell

```
Pr11Hg9Pd4
1.0
-2.944 -2.334 -0.774
7.146 -10.514 4.522
-7.265 5.949 9.691
Pr Hg Pd
11 9 4
direct
0.000 0.588 0.930 Pr
0.000 0.412 0.070 Pr
0.000 0.930 0.588 Pr
0.000 0.070 0.412 Pr
0.000 0.628 0.372 Pr
0.000 0.372 0.628 Pr
0.000 0.832 0.168 Pr
0.000 0.168 0.832 Pr
0.000 0.000 0.000 Pr
0.000 0.700 0.700 Pr
0.000 0.300 0.300 Pr
0.500 0.629 0.158 Hg
0.500 0.371 0.842 Hg
0.500 0.158 0.629 Hg
0.500 0.842 0.371 Hg
0.500 0.785 0.932 Hg
0.500 0.215 0.068 Hg
0.500 0.932 0.785 Hg
0.500 0.068 0.215 Hg
0.500 0.500 0.500 Hg
0.500 0.552 0.750 Pd
0.500 0.448 0.250 Pd
0.500 0.750 0.552 Pd
0.500 0.250 0.448 Pd
```

(9)
## NpHg2Sb (PBE)

Data for NpHg2Sb after structural relaxation.

Results
Calculated volume: 100.93 Å³/cell
ΔE_f (raw): -8 kJ/mol of atoms
DOS(E_F): 9.58 states/eV/cell

```
NpHg2Sb
1.0
-3.295 1.122 -3.780
-3.376 -0.288 2.857
0.412 4.315 0.922
Np Sb Hg
1 1 2
direct
0.500 0.000 0.000 Np
0.500 0.500 0.500 Sb
0.000 0.000 0.500 Hg
0.000 0.500 0.000 Hg
```

(10)
## Ca2LaCo (PBE)

Data for Ca2LaCo after structural relaxation.

Results
Calculated volume: 122.79 Å³/cell
Energy of formation: 0.342 eV/atom
DOS(E_F): 3.78 states/eV/cell

```
Ca2LaCo
1.0
-4.280 6.879 7.021
-7.323 5.158 5.891
-5.274 3.699 8.569
Ca Co La
2 1 1
direct
0.976 0.976 0.976 Ca
0.524 0.524 0.524 Ca
0.250 0.250 0.250 Co
0.750 0.750 0.750 La
```

(11)
## LaRe2Mo (PBE)

Data for LaRe2Mo after structural relaxation.

Results
Calculated volume: 163.10 Å³/cell
Energy of formation: 0.922 eV/atom
DOS(E_F): 7.30 states/eV/cell

```
LaRe2Mo
1.0
7.570 0.000 0.000
0.000 7.570 0.000
3.785 3.785 2.846
Re Mo La
4 2 2
direct
0.581 0.125 0.250 Re
0.169 0.625 0.250 Re
0.375 0.419 0.750 Re
0.875 0.831 0.750 Re
0.500 0.500 0.000 Mo
0.250 0.750 0.500 Mo
0.000 0.000 0.000 La
0.750 0.250 0.500 La
```

(12)
## NbFeB2W (PBE)

Data for NbFeB2W after structural relaxation.

Results
Calculated volume: 82.33 Å³/cell
Energy of formation: 1.848 eV/atom
DOS(E_F): 7.04 states/eV/cell

```
NbFeB2W
1.0
4.094 0.000 0.000
0.000 4.913 0.000
0.000 0.000 4.094
Nb B Fe W
1 2 1 1
direct
0.000 0.500 0.000 Nb
0.000 0.000 0.500 B
0.500 0.000 0.000 B
0.500 0.500 0.500 Fe
0.000 0.000 0.000 W
```

It is found that the magnetic moment values, taken in the order of the records, are 0.00; 0.00; 0.00; 0.77; 2.66; 0.00; 0.00; 0.47; 4.23; 1.31; 0.00; 0.04 μB/f.u..